1.
## SbSeCl2 (PBE)

Data for crystalline SbSeCl2 at its relaxed geometry.

The structure in POSCAR format:
```
SbSeCl2
1.0
1.953 0.000 9.671
-0.976 1.691 9.671
-0.976 -1.691 9.671
Sb Cl Se
1 2 1
Direct
0.500 0.500 0.500
0.084 0.084 0.084
0.916 0.916 0.916
0.000 0.000 0.000
```

Results
As for the uncorrected formation energy: 0.0100 eV/atom. Its space group is R-3m, No. 166.

---

2.
## Zn3CuNi (PBE)

Data for crystalline Zn3CuNi at its relaxed geometry.

The structure in POSCAR format:
```
Zn3CuNi
1.0
-1.942 0.825 -4.751
-2.022 -6.148 -0.242
-5.463 5.894 3.257
Cu Zn Ni
4 12 4
Direct
0.124 0.800 0.452
0.624 0.200 0.048
0.376 0.800 0.952
0.876 0.200 0.548
0.380 0.213 0.555
0.623 0.004 0.249
0.633 0.409 0.853
0.120 0.213 0.055
0.123 0.996 0.251
0.877 0.004 0.749
0.880 0.787 0.945
0.377 0.996 0.751
0.620 0.787 0.445
0.133 0.591 0.647
0.367 0.591 0.147
0.867 0.409 0.353
0.628 0.607 0.654
0.128 0.393 0.846
0.372 0.393 0.346
0.872 0.607 0.154
```

Results
Its space group is P2_1/c, No. 14. The calculated total energy is -57.5 eV per cell.

---

3.
## Zr2Br (PBE)

Data for crystalline Zr2Br at its relaxed geometry.

The structure in POSCAR format:
```
Zr2Br
1.0
1.633 5.358 -0.029
-1.633 5.358 -0.029
0.000 4.298 7.823
Zr Br
4 2
Direct
0.479 0.479 0.231
0.150 0.150 0.434
0.521 0.521 0.769
0.850 0.850 0.566
0.820 0.820 0.113
0.180 0.180 0.887
```

Results
As for the uncorrected formation energy: -0.2552 eV/atom. Its space group is C2/m, No. 12.

---

4.
## CeU2O6 (PBE)

Data for crystalline CeU2O6 at its relaxed geometry.

The structure in POSCAR format:
```
CeU2O6
1.0
-1.918 1.918 8.189
1.918 -1.918 8.189
1.918 1.918 -8.189
O Ce U
6 1 2
Direct
0.750 0.250 0.500
0.088 0.588 0.500
0.250 0.750 0.500
0.588 0.088 0.500
0.912 0.412 0.500
0.412 0.912 0.500
0.000 0.000 0.000
0.334 0.334 0.000
0.666 0.666 0.000
```

Results
As for the uncorrected formation energy: -3.3862 eV/atom. Its space group is I4/mmm, No. 139.

---

5.
## Nd3Ga2Pd3 (PBE)

Data for crystalline Nd3Ga2Pd3 at its relaxed geometry.

The structure in POSCAR format:
```
Nd3Ga2Pd3
1.0
-1.406 5.312 -1.879
-7.467 -1.210 2.166
3.172 5.866 14.213
Pd Nd Ga
12 12 8
Direct
0.412 0.675 0.534
0.912 0.825 0.466
0.395 0.683 0.250
0.088 0.175 0.534
0.105 0.183 0.250
0.912 0.825 0.034
0.605 0.317 0.750
0.588 0.325 0.034
0.088 0.175 0.966
0.895 0.817 0.750
0.412 0.675 0.966
0.588 0.325 0.466
0.145 0.465 0.394
0.855 0.535 0.606
0.645 0.035 0.894
0.855 0.535 0.894
0.118 0.172 0.750
0.382 0.672 0.750
0.645 0.035 0.606
0.145 0.465 0.106
0.355 0.965 0.394
0.618 0.328 0.250
0.355 0.965 0.106
0.882 0.828 0.250
0.145 0.883 0.895
0.645 0.617 0.105
0.855 0.117 0.395
0.645 0.617 0.395
0.855 0.117 0.105
0.145 0.883 0.605
0.355 0.383 0.605
0.355 0.383 0.895
```

Results
Its space group is Pnma, No. 62. The calculated total energy is -169.6 eV per cell.

---

6.
## ZnOs4Pt (PBE)

Data for crystalline ZnOs4Pt at its relaxed geometry.

The structure in POSCAR format:
```
ZnOs4Pt
1.0
0.000 3.637 3.637
3.637 0.000 3.637
3.637 3.637 0.000
Os Pt Zn
4 1 1
Direct
0.375 0.375 0.375
0.375 0.375 0.874
0.874 0.375 0.375
0.375 0.874 0.375
0.750 0.750 0.750
0.000 0.000 0.000
```

Results
Its space group is F-43m, No. 216. The calculated total energy is -47.4 eV per cell.

---

7.
## Sb2Pd4Au (PBE)

Data for crystalline Sb2Pd4Au at its relaxed geometry.

The structure in POSCAR format:
```
Sb2Pd4Au
1.0
-1.010 0.380 -4.065
4.024 -3.868 -1.362
-14.366 -15.684 2.103
Pd Sb Au
16 8 4
Direct
0.250 0.681 0.171
0.750 0.181 0.329
0.250 0.231 0.040
0.250 0.330 0.674
0.750 0.731 0.460
0.750 0.830 0.826
0.250 0.170 0.174
0.750 0.670 0.326
0.750 0.933 0.093
0.750 0.567 0.593
0.750 0.769 0.960
0.750 0.319 0.829
0.250 0.269 0.540
0.250 0.433 0.407
0.250 0.819 0.671
0.250 0.067 0.907
0.250 0.072 0.778
0.750 0.572 0.722
0.750 0.217 0.461
0.250 0.717 0.039
0.750 0.283 0.961
0.250 0.428 0.278
0.750 0.928 0.222
0.250 0.783 0.539
0.250 0.577 0.883
0.250 0.923 0.383
0.750 0.423 0.117
0.750 0.077 0.617
```

Results
As for the uncorrected formation energy: -0.3389 eV/atom. Its space group is Pnma, No. 62.

---

8.
## SrLiCdSb2 (PBE)

Data for crystalline SrLiCdSb2 at its relaxed geometry.

The structure in POSCAR format:
```
SrLiCdSb2
1.0
-5.302 0.835 1.745
-1.333 -5.267 -1.528
1.455 -1.918 5.341
Sr Li Cd Sb
1 1 1 2
Direct
0.000 0.000 0.500
0.500 0.500 0.500
0.000 0.000 0.000
0.500 0.000 0.000
0.000 0.500 0.000
```

Results
As for the uncorrected formation energy: 0.1874 eV/atom. Its space group is P4/mmm, No. 123.

---

| no. | V (Å³ per cell) |
| --- | --- |
| 1 | 95.8 |
| 2 | 258.9 |
| 3 | 137.3 |
| 4 | 120.5 |
| 5 | 717.4 |
| 6 | 96.2 |
| 7 | 516.5 |
| 8 | 186.6 |